# 1
{"formula": "Tb3HoC", "functional": "PBE", "state": "optimized geometry", "delta_e_f_ev_per_fu": 0.0, "e_tot_ha_per_atom": -0.203, "lattice": [[5.0733, 0.0000, 0.0000], [0.0000, 5.0733, 0.0000], [0.0000, 0.0000, 5.0733]], "species": ["Tb", "Tb", "Tb", "Ho", "C"], "frac_coords": [[0.5000, 0.0000, 0.0000], [0.0000, 0.0000, 0.5000], [0.0000, 0.5000, 0.0000], [0.5000, 0.5000, 0.5000], [0.0000, 0.0000, 0.0000]]}

---

# 2
{"formula": "Ho4PdPt5", "functional": "PBE", "state": "optimized geometry", "delta_e_f_ev_per_fu": -12.0, "e_tot_ha_per_atom": -0.241, "lattice": [[-2.3085, -0.9744, 3.6501], [3.4565, -4.3005, 1.0379], [5.2114, 6.4180, 2.3241]], "species": ["Pt", "Pt", "Pt", "Pt", "Pt", "Ho", "Ho", "Ho", "Ho", "Pd"], "frac_coords": [[0.9378, 0.7262, 0.8757], [0.2683, 0.1622, 0.5366], [0.0622, 0.2738, 0.1243], [0.5000, 0.5000, 0.0000], [0.7317, 0.8378, 0.4634], [0.6715, 0.3259, 0.3429], [0.3285, 0.6741, 0.6571], [0.1100, 0.7946, 0.2201], [0.8900, 0.2054, 0.7799], [0.5000, 0.0000, 0.0000]]}

---

# 3
{"formula": "ScTc2Rh", "functional": "PBE", "state": "optimized geometry", "delta_e_f_ev_per_fu": -0.6, "e_tot_ha_per_atom": -0.322, "polymorph_energy_mev_per_atom": 67, "lattice": [[-2.2669, 3.0231, -3.6507], [-5.1757, -0.4167, -0.8024], [3.6211, 0.9186, 3.6945]], "species": ["Tc", "Tc", "Rh", "Sc"], "frac_coords": [[0.9980, 0.9980, 0.0000], [0.5020, 0.5020, 0.0000], [0.2500, 0.7500, 0.5000], [0.7500, 0.2500, 0.5000]]}

---

# 4
{"formula": "LaCdAsN2", "functional": "PBE", "state": "optimized geometry", "e_tot_ha_per_atom": -0.170, "raw_formation_energy_ev_per_atom": 0.7943, "lattice": [[4.3797, 0.0000, 0.0000], [0.0000, 5.0745, 0.0000], [0.0000, 0.0000, 4.3797]], "species": ["As", "La", "N", "N", "Cd"], "frac_coords": [[0.0000, 0.5000, 0.0000], [0.5000, 0.5000, 0.5000], [0.0000, 0.0000, 0.5000], [0.5000, 0.0000, 0.0000], [0.0000, 0.0000, 0.0000]]}

---

# 5
{"formula": "Ho3ErTm6", "functional": "PBE", "state": "optimized geometry", "delta_e_f_ev_per_fu": 1.2, "e_tot_ha_per_atom": -0.161, "polymorph_energy_mev_per_atom": 0, "lattice": [[-5.1201, 0.6820, 3.5491], [-5.4836, -7.5479, -6.4604], [6.2858, -1.4188, 9.3409]], "species": ["Tm", "Tm", "Tm", "Tm", "Tm", "Tm", "Tm", "Tm", "Tm", "Tm", "Tm", "Tm", "Ho", "Ho", "Ho", "Ho", "Ho", "Ho", "Er", "Er"], "frac_coords": [[0.0662, 0.7437, 0.6217], [0.3290, 0.4578, 0.8956], [0.0662, 0.3783, 0.2563], [0.7859, 0.3015, 0.6985], [0.8204, 0.0147, 0.9853], [0.5662, 0.2563, 0.3783], [0.3290, 0.1044, 0.5422], [0.8290, 0.5422, 0.1044], [0.2859, 0.6985, 0.3015], [0.5662, 0.6217, 0.7437], [0.8290, 0.8956, 0.4578], [0.3204, 0.9853, 0.0147], [0.9897, 0.7038, 0.9584], [0.9897, 0.0416, 0.2962], [0.0931, 0.4204, 0.5796], [0.4897, 0.9584, 0.7038], [0.5931, 0.5796, 0.4204], [0.4897, 0.2962, 0.0416], [0.0162, 0.1618, 0.8382], [0.5162, 0.8382, 0.1618]]}

---

# 6
{"formula": "Pr2DyTm", "functional": "PBE", "state": "optimized geometry", "delta_e_f_ev_per_fu": 0.1, "e_tot_ha_per_atom": -0.171, "polymorph_energy_mev_per_atom": 0, "lattice": [[-2.0021, 0.2121, -3.0125], [-3.3893, -1.2812, -0.0167], [-5.7646, 10.0951, 2.3628]], "species": ["Tm", "Pr", "Pr", "Dy"], "frac_coords": [[0.0000, 0.0000, 0.0000], [0.2506, 0.2506, 0.2483], [0.7494, 0.7494, 0.7517], [0.5000, 0.5000, 0.5000]]}

---

# 7
{"formula": "La3Pr2Nd8", "functional": "PBE", "state": "optimized geometry", "delta_e_f_ev_per_fu": 1.8, "e_tot_ha_per_atom": -0.172, "polymorph_energy_mev_per_atom": 0, "lattice": [[6.2532, 0.7393, 0.4153], [-0.8382, 10.4035, -5.8986], [2.3235, -1.8773, 8.5419]], "species": ["Nd", "Nd", "Nd", "Nd", "Nd", "Nd", "Nd", "Nd", "La", "La", "La", "Pr", "Pr"], "frac_coords": [[0.3207, 0.4312, 0.3503], [0.6793, 0.0809, 0.6497], [0.0453, 0.8420, 0.6839], [0.9547, 0.1580, 0.3161], [0.2174, 0.5573, 0.1146], [0.7826, 0.4427, 0.8854], [0.6793, 0.5688, 0.6497], [0.3207, 0.9191, 0.3503], [0.5000, 0.0000, 0.0000], [0.0000, 0.7623, 0.0000], [0.0000, 0.2377, 0.0000], [0.3554, 0.2920, 0.5840], [0.6446, 0.7080, 0.4160]]}

---

# 8
{"formula": "Ca2ReSe", "functional": "PBE", "state": "optimized geometry", "e_tot_ha_per_atom": -0.185, "raw_formation_energy_ev_per_atom": -0.0532, "lattice": [[-3.5562, -0.0712, -0.4619], [-0.3580, -1.8650, 3.0434], [-0.5917, 6.0301, 3.6256]], "species": ["Re", "Se", "Ca", "Ca"], "frac_coords": [[0.5000, 0.5000, 0.2500], [0.5000, 0.5000, 0.7500], [0.0000, 0.0000, 0.5106], [0.0000, 0.0000, 0.9894]]}

---

# 9
{"formula": "PuZnRhO6", "functional": "PBE", "state": "optimized geometry", "e_tot_ha_per_atom": -0.275, "raw_formation_energy_ev_per_atom": -1.6290, "lattice": [[5.1489, 0.0000, 0.0000], [-2.5744, 4.4591, 0.0000], [0.0000, 0.0000, 9.4377]], "species": ["O", "O", "O", "O", "O", "O", "O", "O", "O", "O", "O", "O", "Zn", "Zn", "Pu", "Pu", "Rh", "Rh"], "frac_coords": [[0.3379, 0.3401, 0.3699], [0.3379, 0.9978, 0.1301], [0.6599, 0.6621, 0.1301], [0.6621, 0.6599, 0.6301], [0.6599, 0.9978, 0.3699], [0.9978, 0.3379, 0.6301], [0.9978, 0.6599, 0.8699], [0.3401, 0.3379, 0.8699], [0.6621, 0.0022, 0.8699], [0.3401, 0.0022, 0.6301], [0.0022, 0.6621, 0.3699], [0.0022, 0.3401, 0.1301], [0.0000, 0.0000, 0.5000], [0.0000, 0.0000, 0.0000], [0.6667, 0.3333, 0.2500], [0.3333, 0.6667, 0.7500], [0.3333, 0.6667, 0.2500], [0.6667, 0.3333, 0.7500]]}

---

# 10
{"formula": "Fe2HgCl", "functional": "PBE", "state": "optimized geometry", "e_tot_ha_per_atom": -0.170, "raw_formation_energy_ev_per_atom": 0.1368, "polymorph_energy_mev_per_atom": 0, "lattice": [[-0.2029, 1.9802, 2.2754], [-2.6539, -1.3765, 0.9613], [4.2366, -4.8484, 4.5972]], "species": ["Hg", "Fe", "Fe", "Cl"], "frac_coords": [[0.0000, 0.7543, 0.4338], [0.5000, 0.2511, 0.2007], [0.0000, 0.7488, 0.0438], [0.5000, 0.7458, 0.8218]]}

---

# 11
{"formula": "VHgP2", "functional": "PBE", "state": "optimized geometry", "delta_e_f_ev_per_fu": 0.4, "e_tot_ha_per_atom": -0.183, "lattice": [[5.7249, 0.0000, 0.0000], [0.0000, 5.7249, 0.0000], [2.8625, 2.8625, 5.5280]], "species": ["P", "P", "P", "P", "Hg", "Hg", "V", "V"], "frac_coords": [[0.5783, 0.1250, 0.2500], [0.3750, 0.4217, 0.7500], [0.1717, 0.6250, 0.2500], [0.8750, 0.8283, 0.7500], [0.0000, 0.0000, 0.0000], [0.7500, 0.2500, 0.5000], [0.2500, 0.7500, 0.5000], [0.5000, 0.5000, 0.0000]]}

---

# 12
{"formula": "RbAgHg2F6", "functional": "PBE", "state": "optimized geometry", "e_tot_ha_per_atom": -0.117, "raw_formation_energy_ev_per_atom": -1.6106, "lattice": [[-5.2387, 1.4693, -2.8931], [0.5989, -5.9005, -5.3743], [-4.2375, -5.8808, 3.3936]], "species": ["F", "F", "F", "F", "F", "F", "F", "F", "F", "F", "F", "F", "Rb", "Rb", "Hg", "Hg", "Hg", "Hg", "Ag", "Ag"], "frac_coords": [[0.4320, 0.4461, 0.2984], [0.5584, 0.8611, 0.4091], [0.5680, 0.5539, 0.7016], [0.9320, 0.2984, 0.4461], [0.4416, 0.1389, 0.5909], [0.4274, 0.1638, 0.1132], [0.5726, 0.8362, 0.8868], [0.9274, 0.1132, 0.1638], [0.0726, 0.8868, 0.8362], [0.9416, 0.5909, 0.1389], [0.0680, 0.7016, 0.5539], [0.0584, 0.4091, 0.8611], [0.7500, 0.1675, 0.8325], [0.2500, 0.8325, 0.1675], [0.8502, 0.6555, 0.8359], [0.1498, 0.3445, 0.1641], [0.6498, 0.1641, 0.3445], [0.3502, 0.8359, 0.6555], [0.2500, 0.4141, 0.5859], [0.7500, 0.5859, 0.4141]]}

---

# 13
{"formula": "GeSbP2", "functional": "PBE", "state": "optimized geometry", "e_tot_ha_per_atom": -0.170, "raw_formation_energy_ev_per_atom": 0.2686, "polymorph_energy_mev_per_atom": 0, "lattice": [[-0.2110, -6.4766, -1.0165], [4.3920, 0.6154, -4.8329], [5.2920, -3.4805, -0.0853]], "species": ["Ge", "Ge", "Sb", "Sb", "P", "P", "P", "P"], "frac_coords": [[0.2500, 0.7500, 0.5000], [0.5000, 0.5000, 0.0000], [0.7500, 0.2500, 0.5000], [0.0000, 0.0000, 0.0000], [0.8750, 0.8373, 0.7500], [0.3750, 0.4127, 0.7500], [0.1627, 0.6250, 0.2500], [0.5873, 0.1250, 0.2500]]}

---

# 14
{"formula": "KCNO2", "functional": "PBE", "state": "optimized geometry", "e_tot_ha_per_atom": -0.186, "raw_formation_energy_ev_per_atom": 0.6459, "lattice": [[4.9498, 0.0000, 0.0000], [0.0000, 4.9498, 0.0000], [0.0000, 0.0000, 2.4913]], "species": ["N", "O", "O", "C", "K"], "frac_coords": [[0.0000, 0.0000, 0.5000], [0.5000, 0.0000, 0.0000], [0.0000, 0.5000, 0.0000], [0.0000, 0.0000, 0.0000], [0.5000, 0.5000, 0.5000]]}

---

# 15
{"formula": "TbSnAuSe", "functional": "PBE", "state": "optimized geometry", "e_tot_ha_per_atom": -0.175, "raw_formation_energy_ev_per_atom": -0.9185, "lattice": [[-0.1765, -4.2288, -1.8748], [-0.2684, -3.7312, 2.7266], [-11.5884, -2.0454, -0.0103]], "species": ["Au", "Au", "Se", "Se", "Sn", "Sn", "Tb", "Tb"], "frac_coords": [[0.3846, 0.3846, 0.8461], [0.6154, 0.6154, 0.1539], [0.8025, 0.8025, 0.5926], [0.1975, 0.1975, 0.4074], [0.2981, 0.2981, 0.1057], [0.7019, 0.7019, 0.8943], [0.1088, 0.1088, 0.6736], [0.8912, 0.8912, 0.3264]]}

---

# 16
{"formula": "NdNi2PN", "functional": "PBE", "state": "optimized geometry", "e_tot_ha_per_atom": -0.252, "raw_formation_energy_ev_per_atom": -0.8456, "lattice": [[-0.1184, 2.9503, -2.0292], [-5.1317, -2.7569, -0.5462], [-2.4382, 3.5017, 5.2333]], "species": ["Ni", "Ni", "Ni", "Ni", "P", "P", "N", "N", "Nd", "Nd"], "frac_coords": [[0.8262, 0.6523, 0.0553], [0.1738, 0.3477, 0.9447], [0.1738, 0.3477, 0.5553], [0.8262, 0.6523, 0.4447], [0.2683, 0.5366, 0.2500], [0.7317, 0.4634, 0.7500], [0.0000, 0.0000, 0.0000], [0.0000, 0.0000, 0.5000], [0.4601, 0.9202, 0.7500], [0.5399, 0.0798, 0.2500]]}

---

# 17
{"formula": "LaNi2", "functional": "PBE", "state": "optimized geometry", "delta_e_f_ev_per_fu": -1.0, "e_tot_ha_per_atom": -0.214, "lattice": [[5.2118, 0.0000, 0.0000], [2.6059, 4.5136, 0.0000], [2.6059, 1.5045, 4.2554]], "species": ["Ni", "Ni", "Ni", "Ni", "La", "La"], "frac_coords": [[0.6250, 0.1250, 0.6250], [0.6250, 0.6250, 0.1250], [0.6250, 0.6250, 0.6250], [0.1250, 0.6250, 0.6250], [0.0000, 0.0000, 0.0000], [0.2500, 0.2500, 0.2500]]}

---

# 18
{"formula": "BiRhSe2", "functional": "PBE", "state": "optimized geometry", "e_tot_ha_per_atom": -0.177, "raw_formation_energy_ev_per_atom": -0.2778, "lattice": [[6.7395, -0.0446, -0.0446], [1.0569, 3.5775, 0.0000], [2.4385, -0.7205, 8.0563]], "species": ["Bi", "Bi", "Rh", "Rh", "Se", "Se", "Se", "Se"], "frac_coords": [[0.8743, 0.3732, 0.6741], [0.2522, 0.6841, 0.3142], [0.8976, 0.3617, 0.3337], [0.0736, 0.7735, 0.0550], [0.6571, 0.9819, 0.4742], [0.3634, 0.1286, 0.0172], [0.1703, 0.7252, 0.7331], [0.8093, 0.4057, 0.0782]]}